The following is a DFT calculation (GGA-PBE) of a geometry-optimized LaDy12Tm3 structure.

Results
* crystal system: tetragonal
* energy relative to the elements: 0.024 eV per atom
* calculated density: 8.541 g cm⁻³
* volume: 504.65 Å³/f.u.

a = 5.0137 Å, b = 5.0137 Å, c = 20.0759 Å
α = 90.00°, β = 90.00°, γ = 90.00°
Closest atoms and distances in Å follow each position.
Sites, in units of the cell vectors:
La: 0.0000 0.0000 0.0000  12 Dy 3.55-3.60
Dy: 0.0000 0.5000 0.1287  2 Tm 3.52, 8 Dy 3.54-3.60, 2 La 3.60
Dy: 0.0000 0.5000 0.3762  8 Dy 3.52-3.55, 4 Tm 3.53-3.54
Dy: 0.0000 0.5000 0.6238  8 Dy 3.52-3.55, 4 Tm 3.53-3.54
Dy: 0.0000 0.5000 0.8713  2 Tm 3.52, 8 Dy 3.54-3.60, 2 La 3.60
Dy: 0.5000 0.0000 0.1287  2 Tm 3.52, 8 Dy 3.54-3.60, 2 La 3.60
Dy: 0.5000 0.0000 0.3762  8 Dy 3.52-3.55, 4 Tm 3.53-3.54
Dy: 0.5000 0.0000 0.6238  8 Dy 3.52-3.55, 4 Tm 3.53-3.54
Dy: 0.5000 0.0000 0.8713  2 Tm 3.52, 8 Dy 3.54-3.60, 2 La 3.60
Dy: 0.5000 0.5000 0.0000  4 La 3.55, 8 Dy 3.60
Dy: 0.5000 0.5000 0.2532  8 Dy 3.52-3.54, 4 Tm 3.55
Dy: 0.5000 0.5000 0.5000  8 Dy 3.53, 4 Tm 3.55
Dy: 0.5000 0.5000 0.7468  8 Dy 3.52-3.54, 4 Tm 3.55
Tm: 0.0000 0.0000 0.2518  12 Dy 3.52-3.55
Tm: 0.0000 0.0000 0.5000  12 Dy 3.53-3.55
Tm: 0.0000 0.0000 0.7482  12 Dy 3.52-3.55

The following is a DFT calculation (GGA-PBE) of a geometry-optimized LaDy6Tm3 structure.

Results
* crystal system: orthorhombic
* energy relative to the elements: 0.152 eV per atom
* calculated density: 8.416 g cm⁻³
* volume: 319.79 Å³/f.u.
* ΔE to the lowest computed polymorph: 0.0 meV/atom

a = 10.9911 Å, b = 10.9911 Å, c = 6.2396 Å
α = 90.00°, β = 90.00°, γ = 121.95°
Closest atoms and distances in Å follow each position.
Sites, in units of the cell vectors:
La: 0.2117 0.7883 0.5000  3 Tm 3.19-3.41, 5 Dy 3.24-3.42
La: 0.7883 0.2117 0.0000  3 Tm 3.19-3.41, 5 Dy 3.24-3.42
Dy: 0.0161 0.4368 0.3465  2 La 3.24-3.42, 1 Tm 3.26, 5 Dy 3.39-3.52
Dy: 0.0488 0.9512 0.7972  6 Dy 3.57-3.95, 4 Tm 3.61-3.66, 1 La 3.64
Dy: 0.2870 0.3728 0.2007  4 Tm 3.30-3.57, 6 Dy 3.43-3.63
Dy: 0.3121 0.6879 0.0644  2 Tm 3.24-3.62, 1 La 3.33, 6 Dy 3.39-3.43
Dy: 0.3728 0.2870 0.7007  4 Tm 3.30-3.57, 6 Dy 3.43-3.63
Dy: 0.4368 0.0161 0.8465  2 La 3.24-3.42, 1 Tm 3.26, 5 Dy 3.39-3.52
Dy: 0.5632 0.9839 0.3465  2 La 3.24-3.42, 1 Tm 3.26, 5 Dy 3.39-3.52
Dy: 0.6272 0.7130 0.2007  4 Tm 3.30-3.57, 6 Dy 3.43-3.63
Dy: 0.6879 0.3121 0.5644  2 Tm 3.24-3.62, 1 La 3.33, 6 Dy 3.39-3.43
Dy: 0.7130 0.6272 0.7007  4 Tm 3.30-3.57, 6 Dy 3.43-3.63
Dy: 0.9512 0.0488 0.2972  6 Dy 3.57-3.95, 4 Tm 3.61-3.66, 1 La 3.64
Dy: 0.9839 0.5632 0.8465  2 La 3.24-3.42, 1 Tm 3.26, 5 Dy 3.39-3.52
Tm: 0.0773 0.2928 0.7566  1 La 3.19, 3 Dy 3.26-3.41, 1 Tm 3.50
Tm: 0.2928 0.0773 0.2566  1 La 3.19, 3 Dy 3.26-3.41, 1 Tm 3.50
Tm: 0.3862 0.6138 0.5978  6 Dy 3.24-3.62, 1 La 3.41, 2 Tm 3.50
Tm: 0.6138 0.3862 0.0978  6 Dy 3.24-3.62, 1 La 3.41, 2 Tm 3.50
Tm: 0.7072 0.9227 0.7566  1 La 3.19, 3 Dy 3.26-3.41, 1 Tm 3.50
Tm: 0.9227 0.7072 0.2566  1 La 3.19, 3 Dy 3.26-3.41, 1 Tm 3.50

The following is a DFT calculation (GGA-PBE) of a geometry-optimized LaDy2Tm4 structure.

Results
* crystal system: triclinic
* energy relative to the elements: 0.070 eV per atom
* calculated density: 8.512 g cm⁻³
* volume: 222.33 Å³/f.u.
* ΔE to the lowest computed polymorph: 28.4 meV/atom

a = 5.9962 Å, b = 8.4073 Å, c = 9.4667 Å
α = 88.59°, β = 78.39°, γ = 72.17°
Closest atoms and distances in Å follow each position.
Sites, in units of the cell vectors:
La: 0.0000 0.0000 0.0000  8 Tm 3.44-3.76, 3 Dy 3.62-3.76
La: 0.3150 0.1473 0.2670  4 Tm 3.22-3.56, 2 Dy 3.39-3.48
Dy: 0.1233 0.5558 0.1171  8 Tm 3.36-3.62, 2 Dy 3.51-3.55, 2 La 3.62-3.76
Dy: 0.1649 0.4940 0.4844  1 La 3.39, 8 Tm 3.42-3.66, 2 Dy 3.45-3.55
Dy: 0.2619 0.0423 0.6272  8 Tm 3.43-3.76, 2 La 3.48-3.62, 1 Dy 3.63
Dy: 0.3735 0.6227 0.7610  8 Tm 3.39-3.60, 3 Dy 3.45-3.63, 1 La 3.76
Tm: 0.0181 0.8858 0.3512  2 La 3.22-3.45, 4 Tm 3.30-3.57, 2 Dy 3.42
Tm: 0.4757 0.2113 0.8928  5 Tm 3.41-3.75, 3 La 3.44-3.76, 3 Dy 3.48-3.56
Tm: 0.5589 0.7675 0.0535  5 Tm 3.45-3.73, 3 La 3.45-3.69, 3 Dy 3.47-3.55
Tm: 0.6086 0.6906 0.4116  6 Tm 3.30-3.66, 5 Dy 3.43-3.62
Tm: 0.6898 0.3719 0.1891  4 Tm 3.30-3.45, 2 La 3.32-3.44, 3 Dy 3.36-3.66
Tm: 0.7280 0.2633 0.5376  5 Dy 3.43-3.76, 6 Tm 3.43-3.82, 1 La 3.78
Tm: 0.8120 0.8354 0.7030  5 Tm 3.38-3.61, 5 Dy 3.43-3.58, 1 La 3.68
Tm: 0.9187 0.4176 0.8331  5 Dy 3.39-3.60, 6 Tm 3.41-3.63, 1 La 3.75

The following is a DFT calculation (GGA-PBE) of a geometry-optimized La9Dy2Tm structure.

Results
* crystal system: tetragonal
* energy relative to the elements: 0.007 eV per atom
* calculated density: 6.878 g cm⁻³
* volume: 421.10 Å³/f.u.

a = 5.1966 Å, b = 5.1966 Å, c = 15.5936 Å
α = 90.00°, β = 90.00°, γ = 90.00°
Closest atoms and distances in Å follow each position.
Sites, in units of the cell vectors:
La: 0.0000 0.0000 0.0000  8 La 3.67, 4 Tm 3.67
La: 0.0000 0.0000 0.3333  4 Dy 3.67, 8 La 3.68
La: 0.0000 0.0000 0.6667  4 Dy 3.67, 8 La 3.68
La: 0.0000 0.5000 0.1660  8 La 3.67-3.68, 2 Tm 3.67, 2 Dy 3.68
La: 0.0000 0.5000 0.5000  8 La 3.67-3.68, 4 Dy 3.68
La: 0.0000 0.5000 0.8340  8 La 3.67-3.68, 2 Tm 3.67, 2 Dy 3.68
La: 0.5000 0.0000 0.1660  8 La 3.67-3.68, 2 Tm 3.67, 2 Dy 3.68
La: 0.5000 0.0000 0.5000  8 La 3.67-3.68, 4 Dy 3.68
La: 0.5000 0.0000 0.8340  8 La 3.67-3.68, 2 Tm 3.67, 2 Dy 3.68
Dy: 0.5000 0.5000 0.3328  12 La 3.67-3.68
Dy: 0.5000 0.5000 0.6672  12 La 3.67-3.68
Tm: 0.5000 0.5000 0.0000  12 La 3.67

The following is a DFT calculation (GGA-PBE) of a geometry-optimized LaDy7Tm2 structure.

Results
* crystal system: triclinic
* energy relative to the elements: 0.024 eV per atom
* calculated density: 8.453 g cm⁻³
* volume: 317.10 Å³/f.u.
* ΔE to the lowest computed polymorph: 0.0 meV/atom

a = 6.1566 Å, b = 7.1037 Å, c = 7.9389 Å
α = 77.15°, β = 75.04°, γ = 73.28°
Closest atoms and distances in Å follow each position.
Sites, in units of the cell vectors:
La: 0.0000 0.0000 0.0000  10 Dy 3.55-3.58, 2 Tm 3.56
Dy: 0.0000 0.5000 0.0000  8 Dy 3.55-3.57, 2 La 3.55, 2 Tm 3.56
Dy: 0.1998 0.3015 0.5982  7 Dy 3.52-3.56, 4 Tm 3.54-3.56, 1 La 3.57
Dy: 0.4000 0.0998 0.2024  7 Dy 3.53-3.58, 3 Tm 3.53-3.55, 2 La 3.56
Dy: 0.4019 0.5982 0.2026  9 Dy 3.52-3.58, 2 Tm 3.53-3.54, 1 La 3.58
Dy: 0.5981 0.4018 0.7974  9 Dy 3.52-3.58, 2 Tm 3.53-3.54, 1 La 3.58
Dy: 0.6000 0.9002 0.7976  7 Dy 3.53-3.58, 3 Tm 3.53-3.55, 2 La 3.56
Dy: 0.8002 0.6985 0.4018  7 Dy 3.52-3.56, 4 Tm 3.54-3.56, 1 La 3.57
Tm: 0.1999 0.7996 0.5986  10 Dy 3.53-3.56, 1 Tm 3.55, 1 La 3.56
Tm: 0.8001 0.2004 0.4014  10 Dy 3.53-3.56, 1 Tm 3.55, 1 La 3.56

The following is a DFT calculation (GGA-PBE) of a geometry-optimized La5Dy5Tm2 structure.

Results
* crystal system: monoclinic
* energy relative to the elements: 0.031 eV per atom
* calculated density: 7.612 g cm⁻³
* volume: 402.46 Å³/f.u.

a = 8.1379 Å, b = 8.1379 Å, c = 11.3927 Å
α = 115.32°, β = 115.32°, γ = 36.69°
Closest atoms and distances in Å follow each position.
Sites, in units of the cell vectors:
La: 0.0000 0.0000 0.0000  4 La 3.62, 8 Dy 3.64-3.65
La: 0.0804 0.0804 0.7466  2 Tm 3.58-3.63, 7 Dy 3.58-3.66, 3 La 3.62-3.68
La: 0.2485 0.2485 0.2537  3 Tm 3.54-3.59, 6 Dy 3.60-3.66, 3 La 3.62-3.68
La: 0.7515 0.7515 0.7463  3 Tm 3.54-3.59, 6 Dy 3.60-3.66, 3 La 3.62-3.68
La: 0.9196 0.9196 0.2534  2 Tm 3.58-3.63, 7 Dy 3.58-3.66, 3 La 3.62-3.68
Dy: 0.3326 0.3326 0.0002  4 Dy 3.61-3.67, 8 La 3.63-3.66
Dy: 0.4145 0.4145 0.7447  3 Tm 3.57, 3 Dy 3.58-3.67, 6 La 3.60-3.65
Dy: 0.5000 0.5000 0.5000  2 Dy 3.58, 6 La 3.58-3.63, 4 Tm 3.64
Dy: 0.5855 0.5855 0.2553  3 Tm 3.57, 3 Dy 3.58-3.67, 6 La 3.60-3.65
Dy: 0.6674 0.6674 0.9998  4 Dy 3.61-3.67, 8 La 3.63-3.66
Tm: 0.1674 0.1674 0.4993  5 La 3.54-3.63, 5 Dy 3.57-3.64, 2 Tm 3.61
Tm: 0.8326 0.8326 0.5007  5 La 3.54-3.63, 5 Dy 3.57-3.64, 2 Tm 3.61

The following is a DFT calculation (GGA-PBE) of a geometry-optimized LaDy6Tm structure.

Results
* crystal system: triclinic
* energy relative to the elements: 0.198 eV per atom
* calculated density: 8.270 g cm⁻³
* volume: 257.57 Å³/f.u.
* ΔE to the lowest computed polymorph: 167.7 meV/atom

a = 6.5505 Å, b = 6.5693 Å, c = 7.4922 Å
α = 115.84°, β = 114.42°, γ = 90.13°
Closest atoms and distances in Å follow each position.
Sites, in units of the cell vectors:
La: 0.0000 0.0000 0.0000  2 Tm 3.28, 8 Dy 3.38-3.68
Dy: 0.0901 0.2679 0.5353  6 Dy 3.28-3.45, 1 La 3.38, 1 Tm 3.45
Dy: 0.4369 0.7629 0.5264  6 Dy 3.28-3.46, 1 Tm 3.38, 1 La 3.60
Dy: 0.5001 0.2540 0.9994  6 Dy 3.23-3.46
Dy: 0.4999 0.7460 0.0006  6 Dy 3.23-3.46
Dy: 0.5631 0.2371 0.4736  6 Dy 3.28-3.46, 1 Tm 3.38, 1 La 3.60
Dy: 0.9099 0.7321 0.4647  6 Dy 3.28-3.45, 1 La 3.38, 1 Tm 3.45
Tm: 0.0000 0.5000 0.0000  2 La 3.28, 8 Dy 3.38-3.66

The following is a DFT calculation (GGA-PBE) of a geometry-optimized La5Dy4Tm2 structure.

Results
* crystal system: orthorhombic
* energy relative to the elements: 0.193 eV per atom
* calculated density: 7.171 g cm⁻³
* volume: 389.58 Å³/f.u.
* ΔE to the lowest computed polymorph: 111.1 meV/atom

a = 12.8864 Å, b = 12.8864 Å, c = 12.8864 Å
α = 164.22°, β = 137.90°, γ = 45.22°
Closest atoms and distances in Å follow each position.
Sites, in units of the cell vectors:
La: 0.0000 0.0000 0.0000  4 Dy 3.41, 2 La 3.54
La: 0.0536 0.3519 0.7017  3 Tm 3.45-3.81, 3 Dy 3.50-3.67, 3 La 3.54-3.73
La: 0.3498 0.6481 0.7017  3 Tm 3.45-3.81, 3 Dy 3.50-3.67, 3 La 3.54-3.73
La: 0.6502 0.3519 0.2983  3 Tm 3.45-3.81, 3 Dy 3.50-3.67, 3 La 3.54-3.73
La: 0.9464 0.6481 0.2983  3 Tm 3.45-3.81, 3 Dy 3.50-3.67, 3 La 3.54-3.73
Dy: 0.3144 0.5000 0.8144  7 Dy 3.37-3.54, 4 La 3.41-3.67
Dy: 0.4034 0.9034 0.5000  1 Tm 3.17, 6 Dy 3.37-3.54, 4 La 3.50
Dy: 0.5966 0.0966 0.5000  1 Tm 3.17, 6 Dy 3.37-3.54, 4 La 3.50
Dy: 0.6856 0.5000 0.1856  7 Dy 3.37-3.54, 4 La 3.41-3.67
Tm: 0.2701 0.7701 0.5000  1 Dy 3.17, 2 La 3.45, 2 Tm 3.54
Tm: 0.7299 0.2299 0.5000  1 Dy 3.17, 2 La 3.45, 2 Tm 3.54

The following is a DFT calculation (GGA-PBE) of a geometry-optimized LaDy8Tm5 structure.

Results
* crystal system: tetragonal
* energy relative to the elements: 0.245 eV per atom
* calculated density: 8.329 g cm⁻³
* volume: 455.29 Å³/f.u.

a = 8.4082 Å, b = 8.4082 Å, c = 8.4082 Å
α = 111.89°, β = 111.89°, γ = 104.74°
Closest atoms and distances in Å follow each position.
Sites, in units of the cell vectors:
La: 0.0000 0.0000 0.0000  4 Dy 3.21
Dy: 0.0897 0.3306 0.4170  4 Tm 3.13-3.46, 1 La 3.21, 1 Dy 3.50
Dy: 0.2844 0.1786 0.7513  5 Tm 3.30-3.51, 3 Dy 3.50-3.60
Dy: 0.3273 0.9103 0.2408  4 Tm 3.13-3.46, 1 La 3.21, 1 Dy 3.50
Dy: 0.4273 0.5331 0.2487  5 Tm 3.30-3.51, 3 Dy 3.50-3.60
Dy: 0.4669 0.7156 0.8942  5 Tm 3.30-3.51, 3 Dy 3.50-3.60
Dy: 0.6694 0.0864 0.7592  4 Tm 3.13-3.46, 1 La 3.21, 1 Dy 3.50
Dy: 0.8214 0.5727 0.1058  5 Tm 3.30-3.51, 3 Dy 3.50-3.60
Dy: 0.9136 0.6727 0.5830  4 Tm 3.13-3.46, 1 La 3.21, 1 Dy 3.50
Tm: 0.0299 0.4369 0.8237  8 Dy 3.35-3.52, 2 Tm 3.50
Tm: 0.2500 0.7500 0.5000  8 Dy 3.13-3.30
Tm: 0.5631 0.3868 0.5931  8 Dy 3.35-3.52, 2 Tm 3.50
Tm: 0.6132 0.2062 0.1763  8 Dy 3.35-3.52, 2 Tm 3.50
Tm: 0.7938 0.9701 0.4069  8 Dy 3.35-3.52, 2 Tm 3.50

The following is a DFT calculation (GGA-PBE) of a geometry-optimized LaDy4Tm6 structure.

Results
* crystal system: tetragonal
* energy relative to the elements: 0.460 eV per atom
* calculated density: 7.848 g cm⁻³
* volume: 381.39 Å³/f.u.
* ΔE to the lowest computed polymorph: 343.2 meV/atom

a = 8.3805 Å, b = 8.3805 Å, c = 8.3805 Å
α = 124.85°, β = 124.85°, γ = 81.79°
Closest atoms and distances in Å follow each position.
Sites, in units of the cell vectors:
La: 0.0000 0.0000 0.0000  8 Tm 3.72-3.88, 4 Dy 3.78
Dy: 0.2608 0.2608 0.6683  4 Tm 3.04-3.39, 2 Dy 3.17
Dy: 0.4075 0.7392 0.0000  4 Tm 3.04-3.39, 2 Dy 3.17
Dy: 0.5925 0.5925 0.3317  4 Tm 3.04-3.39, 2 Dy 3.17
Dy: 0.7392 0.4075 0.0000  4 Tm 3.04-3.39, 2 Dy 3.17
Tm: 0.0000 0.5000 0.5000  4 Dy 3.04
Tm: 0.0742 0.5522 0.0000  4 Dy 3.21-3.50
Tm: 0.4478 0.4478 0.5220  4 Dy 3.21-3.50
Tm: 0.5000 0.0000 0.5000  4 Dy 3.04
Tm: 0.5522 0.0742 0.0000  4 Dy 3.21-3.50
Tm: 0.9258 0.9258 0.4780  4 Dy 3.21-3.50

no.,E_tot (Ry/atom)
1,-0.3361
2,-0.3266
3,-0.3310
4,-0.3549
5,-0.3370
6,-0.3444
7,-0.3255
8,-0.3332
9,-0.3185
10,-0.3014